The following is a GGA-PBE calculation of crystalline MgCd6Hg2 at its relaxed geometry, from the Alexandria database.

Calculated values
Excess energy over the best structure of this formula in the dataset = 0.005 eV per atom
Total magnetization = 0.0 μB/f.u.
Formation energy from the elements = -0.0236 eV/atom
Crystal system = monoclinic

```
MgCd6Hg2
1.0
-0.285 -3.920 -1.850
5.169 1.073 -5.763
1.407 -4.361 6.331
Cd Hg Mg
6 2 1
direct
0.173 0.509 0.826 Cd
0.330 0.335 0.335 Cd
0.827 0.174 0.491 Cd
0.173 0.826 0.509 Cd
0.670 0.665 0.665 Cd
0.827 0.491 0.174 Cd
0.500 0.154 0.846 Hg
0.500 0.846 0.154 Hg
0.000 0.000 0.000 Mg
```